No. 1
Material: SrMg2Sn
Method: DFT, GGA-PBE
State: relaxed

Cell lengths 4.6519, 4.6519, 11.1378 Å; angles 90.00, 90.00, 90.00 degrees
Fractional coordinates of all 8 atoms:
Sr: 0.2500 0.2500 0.2456
Sr: 0.7500 0.7500 0.7544
Mg: 0.2500 0.2500 0.9373
Mg: 0.2500 0.7500 0.5000
Mg: 0.7500 0.2500 0.5000
Mg: 0.7500 0.7500 0.0627
Sn: 0.2500 0.2500 0.6650
Sn: 0.7500 0.7500 0.3350

Output
As for the uncorrected energy: -2.55 eV/atom.

***

No. 2
Material: PmAl2Fe2Si
Method: DFT, GGA-PBE
State: relaxed

Cell lengths 4.2326, 4.2326, 5.6877 Å; angles 90.00, 90.00, 90.00 degrees
Fractional coordinates of all 6 atoms:
Pm: 0.0000 0.0000 0.0000
Al: 0.5000 0.5000 0.2483
Al: 0.5000 0.5000 0.7517
Fe: 0.0000 0.5000 0.5000
Fe: 0.5000 0.0000 0.5000
Si: 0.0000 0.0000 0.5000

Output
As for the uncorrected energy: -6.06 eV/atom.